First-principles (PBE) data for crystalline LaTb2NdSm at its relaxed geometry, as listed in the Alexandria database.

Unit cell a=8.5305 b=11.7060 c=7.2395 alpha=90.00 beta=90.00 gamma=90.00
Last column: nearest neighbours and their distance in Å.
Space group Cmcm (No. 63)
Asymmetric unit:
La1 0.0000 0.2347 0.2500  1 Nd 3.10
Tb1 0.1876 0.0000 0.0000  1 Tb 3.20, 2 Nd 3.22, 2 Sm 3.55
Nd1 0.0000 0.4991 0.2500  1 La 3.10, 4 Tb 3.22, 1 Sm 3.26
Sm1 0.0000 0.2226 0.7500  1 Nd 3.26, 4 Tb 3.55, 2 La 3.62

Volume in A^3/atom: 36.15
Electronic total energy in eV/atom: -4.3922
Energy relative to the elements in eV per atom: 0.3428